TeRh2W: single point on PBEsol structure, meta-GGA SCAN.

The structure belongs to space group Pmmm (No. 47); the cell edges are 3.245, 4.325 and 4.485 Å and the angles 90.00°, 90.00° and 90.00°. The inequivalent atoms are Te at (0.000, 0.000, 0.000), Rh at (0.000, 0.500, 0.500), Rh at (0.500, 0.500, 0.000) and W at (0.500, 0.000, 0.500).

The calculation puts the density of states at the Fermi level at 2.34 states/eV/f.u. As for the energy: -43.3212 eV/atom.



Te3RhW: single point on PBEsol structure, meta-GGA SCAN.

The structure belongs to space group Pm-3m (No. 221); the cell edges are 5.041, 5.041 and 5.041 Å and the angles 90.00°, 90.00° and 90.00°. The inequivalent atoms are Te at (0.000, 0.000, 0.500), Rh at (0.000, 0.000, 0.000) and W at (0.500, 0.500, 0.500).

The calculation puts the density of states at the Fermi level at 3.70 states/eV/f.u. As for the energy: -41.8382 eV/atom.



YTe4Rh: single point on PBEsol structure, meta-GGA SCAN.

The structure belongs to space group F-43m (No. 216); the cell edges are 8.575, 8.575 and 8.575 Å and the angles 90.00°, 90.00° and 90.00°. The inequivalent atoms are Y at (0.000, 0.000, 0.000), Te at (0.124, 0.124, 0.624) and Rh at (0.250, 0.250, 0.250).

The calculation puts the density of states at the Fermi level at 5.65 states/eV/f.u. As for the energy: -34.6407 eV/atom.



Y2TeRh: single point on PBEsol structure, meta-GGA SCAN.

The structure belongs to space group R-3m (No. 166, hexagonal axes); the cell edges are 4.0397, 4.0397 and 21.5062 Å and the angles 90.00°, 90.00° and 120.00°. The inequivalent atoms are Y at (0.0000, 0.0000, 0.2367), Te at (0.0000, 0.0000, 0.0000) and Rh at (0.0000, 0.0000, 0.5000).

The calculation puts the density of states at the Fermi level at 2.27 states/eV/f.u. As for the energy: -32.8412 eV/atom.



Y2TeRh: single point on PBEsol structure, meta-GGA SCAN.

The structure belongs to space group P4/mmm (No. 123); the cell edges are 5.007, 5.007 and 3.609 Å and the angles 90.00°, 90.00° and 90.00°. The inequivalent atoms are Y at (0.000, 0.500, 0.000), Te at (0.000, 0.000, 0.500) and Rh at (0.500, 0.500, 0.500).

The calculation puts the density of states at the Fermi level at 2.71 states/eV/f.u. As for the energy: -32.5550 eV/atom.



ZnTeRh2: single point on PBEsol structure, meta-GGA SCAN.

The structure belongs to space group Imm2 (No. 44); the cell edges are 3.535, 3.712 and 9.796 Å and the angles 90.00°, 90.00° and 90.00°. The inequivalent atoms are Zn at (0.000, 0.000, 0.000), Te at (0.000, 0.500, 0.246), Rh at (0.000, 0.000, 0.558) and Rh at (0.000, 0.500, 0.810).

Its energy relative to the lowest polymorph listed for this composition is 1.0 meV per atom. The calculation puts the density of states at the Fermi level at 1.42 states/eV/f.u.



ZnTeRh2: single point on PBEsol structure, meta-GGA SCAN.

The structure belongs to space group Pmm2 (No. 25); the cell edges are 3.743, 4.360 and 3.841 Å and the angles 90.00°, 90.00° and 90.00°. The inequivalent atoms are Zn at (0.000, 0.000, 0.000), Te at (0.500, 0.500, 0.116), Rh at (0.000, 0.500, 0.635) and Rh at (0.500, 0.000, 0.489).

Its energy relative to the lowest polymorph listed for this composition is 0.0 meV per atom. The calculation puts the density of states at the Fermi level at 1.82 states/eV/f.u.



ZnTeRh2: single point on PBEsol structure, meta-GGA SCAN.

The structure belongs to space group C2/m (No. 12); the cell edges are 8.133, 3.197 and 4.975 Å and the angles 90.00°, 103.13° and 90.00°. The inequivalent atoms are Zn at (0.000, 0.000, 0.000), Te at (0.000, 0.500, 0.500) and Rh at (0.250, 0.000, 0.753).

Its energy relative to the lowest polymorph listed for this composition is 41.6 meV per atom. The calculation puts the density of states at the Fermi level at 2.41 states/eV/f.u.



ZnTeRh2: single point on PBEsol structure, meta-GGA SCAN.

The structure belongs to space group F-43m (No. 216); the cell edges are 6.308, 6.308 and 6.308 Å and the angles 90.00°, 90.00° and 90.00°. The inequivalent atoms are Zn at (0.000, 0.000, 0.000), Te at (0.250, 0.250, 0.750), Rh at (0.000, 0.000, 0.500) and Rh at (0.250, 0.250, 0.250).

Its energy relative to the lowest polymorph listed for this composition is 308.5 meV per atom. The calculation puts the density of states at the Fermi level at 2.47 states/eV/f.u.



Zn2Te2Rh: single point on PBEsol structure, meta-GGA SCAN.

The structure belongs to space group I4/mmm (No. 139); the cell edges are 4.285, 4.285 and 11.773 Å and the angles 90.00°, 90.00° and 90.00°. The inequivalent atoms are Zn at (0.000, 0.000, 0.095), Te at (0.000, 0.500, 0.250) and Rh at (0.000, 0.000, 0.500).

The calculation puts the density of states at the Fermi level at 4.11 states/eV/f.u. As for the energy: -26.2994 eV/atom.



Th7Rh3: single point on PBEsol structure, meta-GGA SCAN.

The structure belongs to space group P6_3mc (No. 186); the cell edges are 9.8814, 9.8814 and 6.1918 Å and the angles 90.00°, 90.00° and 120.00°. The inequivalent atoms are Th at (0.0849, 0.5424, 0.0000), Th at (0.1275, 0.2551, 0.2884), Th at (0.3333, 0.6667, 0.4673) and Rh at (0.1862, 0.3724, 0.7377).

Its formation energy is -6.6 eV/f.u. The calculation puts the density of states at the Fermi level at 10.13 states/eV/f.u.



TiRh: single point on PBEsol structure, meta-GGA SCAN.

The structure belongs to space group P4/mmm (No. 123); the cell edges are 3.135, 3.135 and 2.935 Å and the angles 90.00°, 90.00° and 90.00°. The inequivalent atoms are Ti at (0.000, 0.000, 0.000) and Rh at (0.500, 0.500, 0.500).

Its formation energy is -1.7 eV/f.u. The calculation puts the density of states at the Fermi level at 2.18 states/eV/f.u.